Entry 1:
Density functional theory data (PBE) for crystalline BeCr2C at its relaxed geometry.

a = 6.8421 Å, b = 6.8421 Å, c = 3.4099 Å
α = 90.00°, β = 90.00°, γ = 90.00°
Space group I-42d (No. 122)
One atom of each set of equivalent atoms:
Be: 0.0000 0.0000 0.0000 x4
Cr: 0.1385 0.7500 0.6250 x8
C: 0.0000 0.0000 0.5000 x4

- formation energy (eV per atom) = 0.263
- energy above the lowest structure with this stoichiometry (meV per atom) = 173
- crystal system = tetragonal

***

Entry 2:
Density functional theory data (PBE) for crystalline RbCu2AgCl8 at its relaxed geometry.

a = 6.5543 Å, b = 6.5543 Å, c = 9.0595 Å
α = 90.00°, β = 90.00°, γ = 120.00°
Space group P-3 (No. 147)
One atom of each set of equivalent atoms:
Rb: 0.0000 0.0000 0.0000 x1
Cu: 0.3333 0.6667 0.7350 x2
Ag: 0.0000 0.0000 0.5000 x1
Cl: 0.0268 0.3192 0.6693 x6
Cl: 0.3333 0.6667 0.9769 x2

- formation energy (no corrections) (eV/f.u.) = -7.3
- crystal system = trigonal

***

Entry 3:
Density functional theory data (PBE) for crystalline K2TlGeCl5 at its relaxed geometry.

a = 4.6172 Å, b = 19.5992 Å, c = 12.6627 Å
α = 90.00°, β = 90.00°, γ = 90.00°
Space group Cmc2_1 (No. 36)
One atom of each set of equivalent atoms:
K: 0.0000 0.1086 0.0000 x4
K: 0.0000 0.1311 0.6218 x4
Tl: 0.0000 0.2223 0.3419 x4
Ge: 0.0000 0.4689 0.7693 x4
Cl: 0.0000 0.0517 0.3670 x4
Cl: 0.0000 0.2760 0.0106 x4
Cl: 0.0000 0.3538 0.6893 x4
Cl: 0.0000 0.3800 0.3198 x4
Cl: 0.0000 0.4876 0.0857 x4

- formation energy (no corrections) (eV/f.u.) = -12.1
- crystal system = orthorhombic

***

Copy entry 1 word for word.
Density functional theory data (PBE) for crystalline BeCr2C at its relaxed geometry.

a = 6.8421 Å, b = 6.8421 Å, c = 3.4099 Å
α = 90.00°, β = 90.00°, γ = 90.00°
Space group I-42d (No. 122)
One atom of each set of equivalent atoms:
Be: 0.0000 0.0000 0.0000 x4
Cr: 0.1385 0.7500 0.6250 x8
C: 0.0000 0.0000 0.5000 x4

- formation energy (eV per atom) = 0.263
- energy above the lowest structure with this stoichiometry (meV per atom) = 173
- crystal system = tetragonal